i:
DFT (PBE-GGA) results for an optimized crystal structure of BaSbAs.

Calculated values
* V: 100.0 Å³/cell
* density: 5.549 g cm⁻³
* symmetry: P3m1, No. 156

Cell lengths 4.8896, 4.8896, 4.8273 Å; angles 90.00, 90.00, 120.00 degrees
Atoms (fractional coordinates):
Ba: 0.0000 0.0000 0.0000
Sb: 0.3333 0.6667 0.4658
As: 0.6667 0.3333 0.5563

ii:
DFT (PBE-GGA) results for an optimized crystal structure of BaSbAs.

Calculated values
* V: 105.9 Å³/cell
* density: 5.236 g cm⁻³
* symmetry: F-43m, No. 216

Cell lengths 5.3110, 5.3110, 5.3110 Å; angles 60.00, 60.00, 60.00 degrees
Atoms (fractional coordinates):
Ba: 0.0000 0.0000 0.0000
Sb: 0.5000 0.5000 0.5000
As: 0.7500 0.7500 0.7500

Best to worst by energy: i, ii.